Record 1
Compound: CaTm4PuSe8
Source: Alexandria
Functional: PBE
Structure: optimized geometry

Geometry as POSCAR:
```
CaTm4PuSe8
1.0
4.193 2.421 6.946
-4.193 2.421 6.946
0.000 -4.842 6.946
Ca Tm Pu Se
1 4 1 8
Cartesian
0.000 0.000 0.000
-2.135 -1.233 9.531
0.000 0.000 5.202
2.135 -1.233 9.531
0.000 2.465 9.531
0.000 0.000 13.032
0.000 -2.324 11.152
-2.012 1.162 11.152
0.000 0.000 7.973
-1.949 -1.125 14.916
2.012 1.162 11.152
0.000 0.000 18.013
1.949 -1.125 14.916
0.000 2.251 14.916
```

Summary:
- formation energy from raw total energies (eV/f.u.) = -24.07
- V (Å³/atom) = 30.2
- DOS(E_F) (states/eV/cell) = 17.48
- space group = R3m

***

Record 2
Compound: Ac2LuBi
Source: Alexandria
Functional: PBE
Structure: optimized geometry

Geometry as POSCAR:
```
Ac2LuBi
1.0
4.417 0.000 0.000
0.000 4.417 0.000
0.000 0.000 7.607
Ac Lu Bi
2 1 1
Cartesian
0.000 0.000 1.805
0.000 0.000 5.802
2.209 2.209 3.803
2.209 2.209 0.000
```

Summary:
- ΔE_f (eV per formula unit) = -1.3
- V (Å³/atom) = 37.1
- DOS(E_F) (states/eV/cell) = 3.96
- space group = P4/mmm
- distance to the lowest polymorph of the same formula (meV per atom) = 0.0

***

Record 3
Compound: Na2Ho2PdO6
Source: Alexandria
Functional: PBE
Structure: optimized geometry

Geometry as POSCAR:
```
Na2Ho2PdO6
1.0
2.856 -4.960 0.000
2.856 4.960 0.000
-1.485 0.000 5.682
Na Ho Pd O
2 2 1 6
Cartesian
2.856 3.518 0.000
2.856 -3.518 0.000
2.114 1.620 2.841
2.114 -1.620 2.841
-0.742 0.000 2.841
0.120 1.574 3.943
0.983 0.000 1.696
0.120 -1.574 3.943
4.108 1.574 1.738
3.245 0.000 3.986
4.108 -1.574 1.738
```

Summary:
- formation energy from raw total energies (eV/f.u.) = -23.45
- V (Å³/atom) = 14.6
- space group = C2/m

***

Record 4
Compound: Ta2MnS5
Source: Alexandria
Functional: PBE
Structure: optimized geometry

Geometry as POSCAR:
```
Ta2MnS5
1.0
0.000 6.595 6.655
2.213 0.000 6.655
2.213 6.595 0.000
Ta Mn S
2 1 5
Cartesian
2.213 2.424 6.655
2.213 10.765 6.655
2.213 6.595 6.655
0.000 0.000 0.000
2.213 4.382 5.146
2.213 4.382 8.163
2.213 8.807 5.146
2.213 8.807 8.163
```

Summary:
- formation energy from raw total energies (eV/f.u.) = -5.15
- V (Å³/atom) = 24.3
- DOS(E_F) (states/eV/cell) = 2.78
- space group = Fmmm
- distance to the lowest polymorph of the same formula (meV per atom) = 43.9

***

Record 5
Compound: GdThBi2
Source: Alexandria
Functional: PBE
Structure: optimized geometry

Geometry as POSCAR:
```
GdThBi2
1.0
5.756 0.000 0.000
0.000 5.756 0.000
0.000 0.000 3.651
Gd Th Bi
1 1 2
Cartesian
0.000 0.000 0.000
2.878 2.878 0.000
0.000 2.878 1.826
2.878 0.000 1.826
```

Summary:
- ΔE_f (eV per formula unit) = -2.4
- V (Å³/atom) = 30.2
- DOS(E_F) (states/eV/cell) = 3.77
- space group = P4/mmm
- distance to the lowest polymorph of the same formula (meV per atom) = 139.8

***

Record 6
Compound: Dy6ScZn2
Source: Alexandria
Functional: PBE
Structure: optimized geometry

Geometry as POSCAR:
```
Dy6ScZn2
1.0
6.137 -1.786 0.000
6.137 1.786 0.000
-3.833 0.000 10.959
Dy Sc Zn
6 1 2
Cartesian
-0.913 0.000 3.574
3.378 0.000 1.339
2.290 0.000 4.477
6.151 0.000 6.483
5.064 0.000 9.621
9.355 0.000 7.385
0.000 0.000 0.000
1.283 0.000 8.897
7.158 0.000 2.063
```

Summary:
- ΔE_f (eV per formula unit) = -1.2
- V (Å³/atom) = 26.7
- DOS(E_F) (states/eV/cell) = 9.65
- space group = C2/m

***

Record 7
Compound: NaSiAgS2
Source: Alexandria
Functional: PBE
Structure: optimized geometry

Geometry as POSCAR:
```
NaSiAgS2
1.0
5.129 0.000 0.000
0.000 5.129 0.000
0.000 0.000 4.656
Na Si Ag S
1 1 1 2
Cartesian
0.000 0.000 0.000
2.565 2.565 0.000
2.565 2.565 2.328
0.000 2.565 2.328
2.565 0.000 2.328
```

Summary:
- formation energy from raw total energies (eV/f.u.) = 1.96
- V (Å³/atom) = 24.5
- DOS(E_F) (states/eV/cell) = 3.27
- space group = P4/mmm

***

Record 8
Compound: KGeIrPd
Source: Alexandria
Functional: PBE
Structure: optimized geometry

Geometry as POSCAR:
```
KGeIrPd
1.0
3.887 0.000 0.000
0.000 3.887 0.000
0.000 0.000 12.886
K Ge Ir Pd
2 2 2 2
Cartesian
0.972 0.972 2.756
2.915 2.915 10.130
0.972 0.972 8.002
2.915 2.915 4.884
0.972 2.915 6.443
2.915 0.972 6.443
0.972 2.915 0.000
2.915 0.972 0.000
```

Summary:
- ΔE_f (eV per formula unit) = -0.3
- V (Å³/atom) = 24.3
- DOS(E_F) (states/eV/cell) = 4.84
- space group = P4/nmm

***

Record 9
Compound: La2PmY
Source: Alexandria
Functional: PBE
Structure: optimized geometry

Geometry as POSCAR:
```
La2PmY
1.0
3.706 0.000 0.000
0.000 3.706 0.000
0.000 0.000 10.237
La Pm Y
2 1 1
Cartesian
0.000 0.000 2.543
0.000 0.000 7.694
1.853 1.853 5.119
1.853 1.853 0.000
```

Summary:
- ΔE_f (eV per formula unit) = 0.1
- V (Å³/atom) = 35.2
- DOS(E_F) (states/eV/cell) = 7.23
- space group = P4/mmm
- distance to the lowest polymorph of the same formula (meV per atom) = 12.0

***

Record 10
Compound: Na4Ac3AsO8
Source: Alexandria
Functional: PBE
Structure: optimized geometry

Geometry as POSCAR:
```
Na4Ac3AsO8
1.0
3.668 2.118 5.690
-3.668 2.118 5.690
0.000 -4.235 5.690
Na Ac As O
4 3 1 8
Cartesian
0.000 0.000 0.000
-1.834 -1.059 5.690
-1.834 1.059 11.381
0.000 2.118 5.690
-3.668 0.000 8.535
-1.834 1.059 2.845
1.834 1.059 2.845
0.000 0.000 8.535
0.000 0.000 4.125
-1.696 -0.979 9.774
0.000 -1.958 7.297
-1.696 0.979 7.297
1.696 -0.979 9.774
0.000 1.958 9.774
1.696 0.979 7.297
0.000 0.000 12.946
```

Summary:
- formation energy from raw total energies (eV/f.u.) = -34.03
- V (Å³/atom) = 16.6
- DOS(E_F) (states/eV/cell) = 0.00
- space group = R-3m

***

Record 11
Compound: AlCdMo2
Source: Alexandria
Functional: PBE
Structure: optimized geometry

Geometry as POSCAR:
```
AlCdMo2
1.0
3.403 0.000 0.000
0.000 4.327 0.000
0.000 0.000 4.505
Al Cd Mo
1 1 2
Cartesian
0.000 0.000 0.000
1.702 2.163 0.000
0.000 2.163 2.252
1.702 0.000 2.252
```

Summary:
- ΔE_f (eV per formula unit) = 0.9
- V (Å³/atom) = 16.6
- DOS(E_F) (states/eV/cell) = 2.75
- space group = Pmmm
- distance to the lowest polymorph of the same formula (meV per atom) = 126.8

***

Record 12
Compound: Rb3SbCl6
Source: Alexandria
Functional: PBE
Structure: optimized geometry

Geometry as POSCAR:
```
Rb3SbCl6
1.0
0.000 5.770 5.770
5.770 0.000 5.770
5.770 5.770 0.000
Rb Sb Cl
3 1 6
Cartesian
0.000 0.000 0.000
2.885 2.885 2.885
8.655 8.655 8.655
5.770 5.770 5.770
5.770 5.770 3.109
5.770 3.109 5.770
8.430 5.770 5.770
3.109 5.770 5.770
5.770 8.430 5.770
5.770 5.770 8.430
```

Summary:
- formation energy from raw total energies (eV/f.u.) = -15.03
- V (Å³/atom) = 38.4
- DOS(E_F) (states/eV/cell) = 0.00
- space group = Fm-3m
- distance to the lowest polymorph of the same formula (meV per atom) = 59.5